Entry 1:
Density functional theory data (PBE-GGA) for a geometry-optimized Pr4HgRu structure.

Computed properties:
- E_form (meV/atom) = -252
- energy relative to the lowest polymorph listed for this composition (eV/f.u.) = 0.24
- symmetry = C2/c, No. 15
- raw total energy (eV/atom) = -5.03

a = 8.304 Å, b = 8.304 Å, c = 6.342 Å
α = 103.13°, β = 103.13°, γ = 114.36°
Fractional positions:
Pr1 0.066 0.708 0.928
Pr2 0.207 0.348 0.659
Pr3 0.292 0.934 0.572
Pr4 0.348 0.207 0.159
Pr5 0.652 0.793 0.841
Pr6 0.708 0.066 0.428
Pr7 0.793 0.652 0.341
Pr8 0.934 0.292 0.072
Hg1 0.377 0.623 0.250
Hg2 0.623 0.377 0.750
Ru1 0.001 0.999 0.750
Ru2 0.999 0.001 0.250

Entry 2:
Density functional theory data (PBE-GGA) for a geometry-optimized PrTmHgRu structure.

Computed properties:
- E_form (meV/atom) = -278
- energy relative to the lowest polymorph listed for this composition (eV/f.u.) = 0.50
- symmetry = F-43m, No. 216
- raw total energy (eV/atom) = -4.99

a = 5.103 Å, b = 5.103 Å, c = 5.103 Å
α = 60.00°, β = 60.00°, γ = 60.00°
Fractional positions:
Pr1 0.000 0.000 0.000
Tm1 0.500 0.500 0.500
Hg1 0.750 0.750 0.750
Ru1 0.250 0.250 0.250